No. 1
Below is a PBEsol-optimized structure of LaZr2Mo, with properties calculated at the SCAN level.

It has space group Cmmm (No. 65), with a = 3.359 Å, b = 5.275 Å, c = 10.028 Å, α = 90.00°, β = 90.00° and γ = 90.00°. The distinct sites, in fractional coordinates, are La at (0.000, 0.000, 0.000), Zr at (0.000, 0.500, 0.295) and Mo at (0.000, 0.000, 0.500).

The value obtained for the formation energy from the elements is 187 meV/atom. Its total energy is -277.28 eV per cell. For the magnetization, the calculation gives 0.000 μB/atom. The value obtained for the calculated volume is 89 Å³/f.u. The calculation puts the mass density at 7.80 g cm⁻³.

No. 2
Below is a PBEsol-optimized structure of Mn3SCl, with properties calculated at the SCAN level.

It has space group Pm-3m (No. 221), with a = 4.383 Å, b = 4.383 Å, c = 4.383 Å, α = 90.00°, β = 90.00° and γ = 90.00°. The distinct sites, in fractional coordinates, are Mn at (0.000, 0.000, 0.500), S at (0.500, 0.500, 0.500) and Cl at (0.000, 0.000, 0.000).

For the formation energy (no corrections), the calculation gives 1.76 eV/f.u. Its total energy is -70.61 eV per cell. For the magnetization, the calculation gives 2.400 μB/atom. The value obtained for the calculated volume is 84 Å³/f.u. The calculation puts the mass density at 4.58 g cm⁻³.

No. 3
Below is a PBEsol-optimized structure of KBaSr, with properties calculated at the SCAN level.

It has space group I4mm (No. 107), with a = 4.229 Å, b = 4.229 Å, c = 20.025 Å, α = 90.00°, β = 90.00° and γ = 90.00°. The distinct sites, in fractional coordinates, are K at (0.000, 0.000, 0.000), Ba at (0.000, 0.000, 0.325) and Sr at (0.000, 0.000, 0.668).

The energy above the most stable polymorph in this dataset is 1.01 kJ/mol of atoms. The value obtained for the formation energy from the elements is 81 meV/atom. Its total energy is -139.82 eV per cell. For the magnetization, the calculation gives 0.044 μB/atom. The value obtained for the calculated volume is 179 Å³/f.u. The calculation puts the mass density at 2.45 g cm⁻³.

No. 4
Below is a PBEsol-optimized structure of Tl2SbPb, with properties calculated at the SCAN level.

It has space group R-3m (No. 166, hexagonal axes), with a = 3.4067 Å, b = 3.4067 Å, c = 33.6921 Å, α = 90.00°, β = 90.00° and γ = 120.00°. The distinct sites, in fractional coordinates, are Tl at (0.0000, 0.0000, 0.2480), Sb at (0.0000, 0.0000, 0.5000) and Pb at (0.0000, 0.0000, 0.0000).

The energy above the most stable polymorph in this dataset is 6.31 kJ/mol of atoms. For the formation energy (no corrections), the calculation gives 0.28 eV/f.u. Its total energy is -772.42 eV per cell. For the magnetization, the calculation gives 0.000 μB/atom. The value obtained for the calculated volume is 113 Å³/f.u. The calculation puts the mass density at 10.85 g cm⁻³.

No. 5
Below is a PBEsol-optimized structure of AlAg2Os, with properties calculated at the SCAN level.

It has space group R3m (No. 160, hexagonal axes), with a = 2.8092 Å, b = 2.8092 Å, c = 26.8126 Å, α = 90.00°, β = 90.00° and γ = 120.00°. The distinct sites, in fractional coordinates, are Al at (0.0000, 0.0000, 0.0000), Ag at (0.0000, 0.0000, 0.5053), Ag at (0.0000, 0.0000, 0.7494) and Os at (0.0000, 0.0000, 0.2602).

The value obtained for the formation energy from the elements is 73 meV/atom. Its total energy is -426.22 eV per cell. For the magnetization, the calculation gives 0.000 μB/atom. The value obtained for the calculated volume is 61 Å³/f.u. The calculation puts the mass density at 11.77 g cm⁻³.

No. 6
Below is a PBEsol-optimized structure of Be3CdS, with properties calculated at the SCAN level.

It has space group Pm-3m (No. 221), with a = 4.130 Å, b = 4.130 Å, c = 4.130 Å, α = 90.00°, β = 90.00° and γ = 90.00°. The distinct sites, in fractional coordinates, are Be at (0.000, 0.000, 0.500), Cd at (0.500, 0.500, 0.500) and S at (0.000, 0.000, 0.000).

For the formation energy (no corrections), the calculation gives 3.08 eV/f.u. Its total energy is -50.03 eV per cell. For the magnetization, the calculation gives 0.000 μB/atom. The value obtained for the calculated volume is 70 Å³/f.u. The calculation puts the mass density at 4.04 g cm⁻³.

No. 7
Below is a PBEsol-optimized structure of Rb2InF, with properties calculated at the SCAN level.

It has space group Fm-3m (No. 225), with a = 8.261 Å, b = 8.261 Å, c = 8.261 Å, α = 90.00°, β = 90.00° and γ = 90.00°. The distinct sites, in fractional coordinates, are Rb at (0.250, 0.250, 0.250), In at (0.000, 0.000, 0.000) and F at (0.000, 0.000, 0.500).

For the formation energy (no corrections), the calculation gives -2.95 eV/f.u. Its total energy is -325.42 eV per cell. For the magnetization, the calculation gives 0.000 μB/atom. The value obtained for the calculated volume is 141 Å³/f.u. The calculation puts the mass density at 3.59 g cm⁻³.

No. 8
Below is a PBEsol-optimized structure of Ba2SbAs, with properties calculated at the SCAN level.

It has space group Cm (No. 8), with a = 12.044 Å, b = 4.706 Å, c = 5.093 Å, α = 90.00°, β = 99.16° and γ = 90.00°. The distinct sites, in fractional coordinates, are Ba at (0.000, 0.000, 0.000), Ba at (0.244, 0.500, 0.538), Sb at (0.457, 0.000, 0.460) and As at (0.274, 0.000, 0.083).

The energy above the most stable polymorph in this dataset is 0.00 kJ/mol of atoms. For the formation energy (no corrections), the calculation gives -4.36 eV/f.u. Its total energy is -281.83 eV per cell. For the magnetization, the calculation gives 0.000 μB/atom. The value obtained for the calculated volume is 142 Å³/f.u. The calculation puts the mass density at 5.49 g cm⁻³.

No. 9
Below is a PBEsol-optimized structure of BeCrRu2, with properties calculated at the SCAN level.

It has space group P4/mmm (No. 123), with a = 4.009 Å, b = 4.009 Å, c = 2.876 Å, α = 90.00°, β = 90.00° and γ = 90.00°. The distinct sites, in fractional coordinates, are Be at (0.000, 0.000, 0.000), Cr at (0.500, 0.500, 0.000) and Ru at (0.000, 0.500, 0.500).

The value obtained for the formation energy from the elements is -164 meV/atom. Its total energy is -93.05 eV per cell. For the magnetization, the calculation gives 0.004 μB/atom. The value obtained for the calculated volume is 46 Å³/f.u. The calculation puts the mass density at 9.45 g cm⁻³.

No. 10
Below is a PBEsol-optimized structure of TaRuAu, with properties calculated at the SCAN level.

It has space group I4mm (No. 107), with a = 3.298 Å, b = 3.298 Å, c = 8.823 Å, α = 90.00°, β = 90.00° and γ = 90.00°. The distinct sites, in fractional coordinates, are Ta at (0.000, 0.000, 0.000), Ru at (0.000, 0.000, 0.639) and Au at (0.000, 0.000, 0.322).

The energy above the most stable polymorph in this dataset is 0.00 kJ/mol of atoms. The value obtained for the formation energy from the elements is -299 meV/atom. Its total energy is -342.93 eV per cell. For the magnetization, the calculation gives 0.000 μB/atom. The value obtained for the calculated volume is 48 Å³/f.u. The calculation puts the mass density at 16.57 g cm⁻³.

No. 11
Below is a PBEsol-optimized structure of HfCd2Cu2, with properties calculated at the SCAN level.

It has space group I4/mmm (No. 139), with a = 3.827 Å, b = 3.827 Å, c = 11.831 Å, α = 90.00°, β = 90.00° and γ = 90.00°. The distinct sites, in fractional coordinates, are Hf at (0.000, 0.000, 0.000), Cd at (0.000, 0.500, 0.250) and Cu at (0.000, 0.000, 0.405).

The value obtained for the formation energy from the elements is 131 meV/atom. Its total energy is -306.49 eV per cell. For the magnetization, the calculation gives 0.000 μB/atom. The value obtained for the calculated volume is 87 Å³/f.u. The calculation puts the mass density at 10.17 g cm⁻³.

No. 12
Below is a PBEsol-optimized structure of CsNa3Hf, with properties calculated at the SCAN level.

It has space group Pm-3m (No. 221), with a = 6.347 Å, b = 6.347 Å, c = 6.347 Å, α = 90.00°, β = 90.00° and γ = 90.00°. The distinct sites, in fractional coordinates, are Cs at (0.000, 0.000, 0.000), Na at (0.000, 0.500, 0.500) and Hf at (0.500, 0.500, 0.500).

The value obtained for the formation energy from the elements is 1023 meV/atom. Its total energy is -108.01 eV per cell. For the magnetization, the calculation gives 0.913 μB/atom. The value obtained for the calculated volume is 256 Å³/f.u. The calculation puts the mass density at 2.47 g cm⁻³.